1.
DFT (PBE with a Hubbard U) results for Bi3WF after structural relaxation.

a = 5.0464 Å, b = 5.0464 Å, c = 5.0464 Å
α = 90.00°, β = 90.00°, γ = 90.00°
Positions (direct):
Bi: 0.0000 0.5000 0.0000
Bi: 0.5000 0.0000 0.0000
Bi: 0.0000 0.0000 0.5000
F: 0.0000 0.0000 0.0000
W: 0.5000 0.5000 0.5000

Values from the calculation:
Fermi-level density of states in states/eV/f.u.: 3.3
Uncorrected energy in Ha/atom: -0.14313
Offset from the most stable computed form in meV/atom: 0
M_tot in μB per formula unit: 3.42


2.
DFT (PBE with a Hubbard U) results for BiW3F after structural relaxation.

a = 4.5074 Å, b = 4.5074 Å, c = 4.5074 Å
α = 90.00°, β = 90.00°, γ = 90.00°
Positions (direct):
W: 0.0000 0.0000 0.5000
Bi: 0.5000 0.5000 0.5000
F: 0.0000 0.0000 0.0000
W: 0.0000 0.5000 0.0000
W: 0.5000 0.0000 0.0000

Values from the calculation:
Fermi-level density of states in states/eV/f.u.: 2.3
Uncorrected energy in Ha/atom: -0.14774
Offset from the most stable computed form in meV/atom: 0
M_tot in μB per formula unit: 3.40


3.
DFT (PBE with a Hubbard U) results for BiWF2 after structural relaxation.

a = 11.0098 Å, b = 11.0098 Å, c = 11.0098 Å
α = 16.40°, β = 16.40°, γ = 16.40°
Positions (direct):
W: 0.0000 0.0000 0.0000
F: 0.0578 0.0578 0.0578
F: 0.9422 0.9422 0.9422
Bi: 0.5000 0.5000 0.5000

Values from the calculation:
Fermi-level density of states in states/eV/f.u.: 1.4
Uncorrected energy in Ha/atom: -0.17026
Offset from the most stable computed form in meV/atom: 0
M_tot in μB per formula unit: 0.19


4.
DFT (PBE with a Hubbard U) results for BiWF2 after structural relaxation.

a = 4.2170 Å, b = 4.2170 Å, c = 8.8091 Å
α = 76.15°, β = 76.15°, γ = 90.00°
Positions (direct):
Bi: 0.0000 0.0000 0.0000
F: 0.5753 0.1250 0.2500
F: 0.1747 0.6250 0.2500
W: 0.2500 0.7500 0.5000
F: 0.3750 0.4247 0.7500
W: 0.5000 0.5000 0.0000
Bi: 0.7500 0.2500 0.5000
F: 0.8750 0.8253 0.7500

Values from the calculation:
Fermi-level density of states in states/eV/f.u.: 0.4
Uncorrected energy in Ha/atom: -0.16535
Offset from the most stable computed form in meV/atom: 134
M_tot in μB per formula unit: 2.98